Entry 1:
Below is an optimized crystal structure of BaCdPdAu, with properties calculated at the GGA-PBE level.

Cell and atoms, written as POSCAR:
```
BaCdPdAu
1.0
4.790 0.000 0.000
-2.395 4.146 -0.004
0.000 -2.762 5.483
Cd Pd Ba Au
1 1 1 1
Direct
0.108 0.216 0.966
0.420 0.841 0.903
0.617 0.234 0.494
0.821 0.641 0.104
```

Results
- Space group: R3m (160)
- Crystal system: trigonal


Entry 2:
Below is an optimized crystal structure of UGePt2, with properties calculated at the GGA-PBE level.

Cell and atoms, written as POSCAR:
```
UGePt2
1.0
-1.346 1.390 4.328
-4.536 -0.409 1.317
-1.244 -3.224 3.245
U Pt Ge
1 2 1
Direct
0.000 0.000 0.000
0.250 0.250 0.250
0.750 0.750 0.750
0.500 0.500 0.500
```

Results
- Space group: Fm-3m (225)
- Crystal system: cubic


ΔE_f: -0.5430 -0.4821 (eV/atom)